# 1
The following is a PBEsol calculation of a relaxed structure of Dy2PbS4, from the Alexandria database.

Cell and atoms, written as CIF:
```
data_Dy2PbS4
_chemical_formula_sum 'Dy8 Pb4 S16'
_space_group_name_H-M_alt 'I -4 2 d'
_space_group_IT_number 122
_space_group_name_Hall 'I -4 2bw'
_cell_length_a 8.3780
_cell_length_b 8.3780
_cell_length_c 8.3400
_cell_angle_alpha 90.00
_cell_angle_beta 90.00
_cell_angle_gamma 90.00
loop_
_atom_site_label
_atom_site_fract_x
_atom_site_fract_y
_atom_site_fract_z
Dy1 0.1317 0.7500 0.1250
Pb1 0.0000 0.0000 0.5000
S1 0.0758 0.6699 0.4373
```

- total moment (μB per atom) = 0.000
- energy (eV per atom) = -6.14
- energy relative to the elements, uncorrected (eV/f.u.) = -11.46
- mass density (kg/m3) = 7494



# 2
The following is a PBEsol calculation of a relaxed structure of CrHgMo2, from the Alexandria database.

Cell and atoms, written as CIF:
```
data_CrHgMo2
_chemical_formula_sum 'Cr2 Hg2 Mo4'
_space_group_name_H-M_alt 'C m m m'
_space_group_IT_number 65
_space_group_name_Hall '-C 2 2'
_cell_length_a 5.4521
_cell_length_b 8.2283
_cell_length_c 2.7200
_cell_angle_alpha 90.00
_cell_angle_beta 90.00
_cell_angle_gamma 90.00
loop_
_atom_site_label
_atom_site_fract_x
_atom_site_fract_y
_atom_site_fract_z
Cr1 0.0000 0.0000 0.0000
Hg1 0.0000 0.5000 0.0000
Mo1 0.2500 0.2500 0.5000
```

- total moment (μB per atom) = 0.000
- energy (eV per atom) = -8.02
- mass density (kg/m3) = 12097



# 3
The following is a PBEsol calculation of a relaxed structure of Al2SbRu, from the Alexandria database.

Cell and atoms, written as CIF:
```
data_Al2SbRu
_chemical_formula_sum 'Al2 Sb1 Ru1'
_space_group_name_H-M_alt 'P 4/m m m'
_space_group_IT_number 123
_space_group_name_Hall '-P 4 2'
_cell_length_a 3.0017
_cell_length_b 3.0017
_cell_length_c 7.8441
_cell_angle_alpha 90.00
_cell_angle_beta 90.00
_cell_angle_gamma 90.00
loop_
_atom_site_label
_atom_site_fract_x
_atom_site_fract_y
_atom_site_fract_z
Al1 0.0000 0.0000 0.1795
Sb1 0.5000 0.5000 0.5000
Ru1 0.5000 0.5000 0.0000
```

- total moment (μB per atom) = 0.000
- energy (eV per atom) = -5.95
- energy relative to the elements, uncorrected (eV/f.u.) = -0.87
- mass density (kg/m3) = 6503



# 4
The following is a PBEsol calculation of a relaxed structure of NbOs2Ru2, from the Alexandria database.

Cell and atoms, written as CIF:
```
data_NbOs2Ru2
_chemical_formula_sum 'Nb2 Os4 Ru4'
_space_group_name_H-M_alt 'I 4/m m m'
_space_group_IT_number 139
_space_group_name_Hall '-I 4 2'
_cell_length_a 3.7386
_cell_length_b 3.7386
_cell_length_c 11.4452
_cell_angle_alpha 90.00
_cell_angle_beta 90.00
_cell_angle_gamma 90.00
loop_
_atom_site_label
_atom_site_fract_x
_atom_site_fract_y
_atom_site_fract_z
Nb1 0.0000 0.0000 0.0000
Os1 0.0000 0.0000 0.3982
Ru1 0.0000 0.5000 0.2500
```

- total moment (μB per atom) = 0.000
- energy (eV per atom) = -10.68
- mass density (kg/m3) = 14024



Copy entry 2 word for word.
The following is a PBEsol calculation of a relaxed structure of CrHgMo2, from the Alexandria database.

Cell and atoms, written as CIF:
```
data_CrHgMo2
_chemical_formula_sum 'Cr2 Hg2 Mo4'
_space_group_name_H-M_alt 'C m m m'
_space_group_IT_number 65
_space_group_name_Hall '-C 2 2'
_cell_length_a 5.4521
_cell_length_b 8.2283
_cell_length_c 2.7200
_cell_angle_alpha 90.00
_cell_angle_beta 90.00
_cell_angle_gamma 90.00
loop_
_atom_site_label
_atom_site_fract_x
_atom_site_fract_y
_atom_site_fract_z
Cr1 0.0000 0.0000 0.0000
Hg1 0.0000 0.5000 0.0000
Mo1 0.2500 0.2500 0.5000
```

- total moment (μB per atom) = 0.000
- energy (eV per atom) = -8.02
- mass density (kg/m3) = 12097